No. 1
A relaxed structure of PrSm7Dy2. Source: Alexandria via LeMat-Bulk, functional GGA-PBE.

The structure belongs to space group Cmmm (No. 65); the cell edges are 8.888, 16.119 and 5.720 Å and the angles 90.00°, 90.00° and 90.00°. Symmetry generates all atoms from Pr at (0.000, 0.000, 0.000), Sm at (0.000, 0.226, 0.000), Sm at (0.000, 0.500, 0.500), Sm at (0.179, 0.116, 0.500) and Dy at (0.000, 0.296, 0.500).

The crystal system is orthorhombic. As for the formation energy: 0.66 eV per atom. As for the energy above the lowest structure with this stoichiometry: 639.4 meV per atom. For the total magnetic moment, the calculation gives 0.0 μB/cell. The volume comes out at 40.97 Å³/atom.



No. 2
A relaxed structure of HoPbO2. Source: Alexandria via LeMat-Bulk, functional GGA-PBE.

The structure belongs to space group P2_1/m (No. 11); the cell edges are 4.147, 3.567 and 10.330 Å and the angles 90.00°, 92.38° and 90.00°. Symmetry generates all atoms from Ho at (0.239, 0.250, 0.392), Pb at (0.308, 0.250, 0.874), O at (0.230, 0.750, 0.250) and O at (0.254, 0.750, 0.537).

The crystal system is monoclinic. As for the energy above the lowest structure with this stoichiometry: 8.3 meV per atom. For the total magnetic moment, the calculation gives 0.0 μB/cell. The volume comes out at 19.08 Å³/atom. The energy relative to the elements, uncorrected comes out at -2425.7 meV per atom.



No. 3
A relaxed structure of Cu2SiOs. Source: Alexandria via LeMat-Bulk, functional GGA-PBE.

The structure belongs to space group P2/m (No. 10); the cell edges are 2.668, 4.197 and 4.702 Å and the angles 90.00°, 102.30° and 90.00°. Symmetry generates all atoms from Cu at (0.138, 0.000, 0.261), Si at (0.000, 0.500, 0.500) and Os at (0.500, 0.500, 0.000).

The crystal system is monoclinic. For the total magnetic moment, the calculation gives 0.0 μB/cell. The volume comes out at 12.86 Å³/atom. The energy relative to the elements, uncorrected comes out at 144.5 meV per atom.



- total magnetic moment of number 1 (PrSm7Dy2)?
  0.0 μB/cell